A geometry-optimized CsLiSbF6 structure. Source: Alexandria via LeMat-Bulk, functional PBE.

The raw formation energy is -2.58 eV per atom. The calculation puts the density of states at the Fermi level at 3.00 states/eV/f.u.

The space group is P312 (No. 149) and the conventional cell measures 5.5891, 5.5891 and 6.5482 Å, with angles of 90.00, 90.00 and 120.00 degrees. Symmetry generates all atoms from Cs at (0.0000, 0.0000, 0.0000), Li at (0.3333, 0.6667, 0.5000), Sb at (0.6667, 0.3333, 0.5000) and F at (0.3921, 0.0058, 0.6780).

=====

A geometry-optimized Cs2LiSbF6 structure. Source: Alexandria via LeMat-Bulk, functional PBE.

The raw formation energy is -2.63 eV per atom. The calculation puts the density of states at the Fermi level at 0.00 states/eV/f.u.

The space group is Fm-3m (No. 225) and the conventional cell measures 8.982, 8.982 and 8.982 Å, with angles of 90.00, 90.00 and 90.00 degrees. Symmetry generates all atoms from Cs at (0.250, 0.250, 0.250), Li at (0.000, 0.000, 0.000), Sb at (0.000, 0.000, 0.500) and F at (0.000, 0.000, 0.251).

=====

A geometry-optimized CsLiScF6 structure. Source: Alexandria via LeMat-Bulk, functional PBE.

The raw formation energy is -3.00 eV per atom. The calculation puts the density of states at the Fermi level at 6.96 states/eV/f.u.

The space group is Imma (No. 74) and the conventional cell measures 7.525, 7.703 and 10.464 Å, with angles of 90.00, 90.00 and 90.00 degrees. Symmetry generates all atoms from Cs at (0.000, 0.250, 0.108), Li at (0.250, 0.250, 0.750), Sc at (0.000, 0.000, 0.500), F at (0.000, 0.250, 0.428), F at (0.000, 0.250, 0.798) and F at (0.200, 0.056, 0.622).

=====

A geometry-optimized Cs2LiScF6 structure. Source: Alexandria via LeMat-Bulk, functional PBE.

The raw formation energy is -3.32 eV per atom. The excess energy over the best structure of this formula in the dataset is 0 meV/atom. The calculation puts the density of states at the Fermi level at 0.00 states/eV/f.u.

The space group is Pmmn (No. 59, origin choice 2) and the conventional cell measures 6.471, 8.036 and 6.900 Å, with angles of 90.00, 90.00 and 90.00 degrees. Symmetry generates all atoms from Cs at (0.250, 0.010, 0.217), Li at (0.250, 0.750, 0.633), Sc at (0.250, 0.250, 0.716), F at (0.014, 0.250, 0.512), F at (0.037, 0.250, 0.929) and F at (0.250, 0.508, 0.711).

=====

A geometry-optimized Cs2LiScF6 structure. Source: Alexandria via LeMat-Bulk, functional PBE.

The raw formation energy is -3.30 eV per atom. The excess energy over the best structure of this formula in the dataset is 22 meV/atom. The calculation puts the density of states at the Fermi level at 0.00 states/eV/f.u.

The space group is I4/mmm (No. 139) and the conventional cell measures 6.161, 6.161 and 8.856 Å, with angles of 90.00, 90.00 and 90.00 degrees. Symmetry generates all atoms from Cs at (0.000, 0.500, 0.250), Li at (0.000, 0.000, 0.000), Sc at (0.000, 0.000, 0.500), F at (0.000, 0.000, 0.267) and F at (0.237, 0.237, 0.500).

=====

A geometry-optimized Cs2LiSc3F12 structure. Source: Alexandria via LeMat-Bulk, functional PBE.

The raw formation energy is -3.62 eV per atom. The calculation puts the density of states at the Fermi level at 0.00 states/eV/f.u.

The space group is R-3m (No. 166, hexagonal axes) and the conventional cell measures 7.7360, 7.7360 and 18.4355 Å, with angles of 90.00, 90.00 and 120.00 degrees. Symmetry generates all atoms from Cs at (0.0000, 0.0000, 0.1365), Li at (0.0000, 0.0000, 0.5000), Sc at (0.0000, 0.5000, 0.0000), F at (0.0700, 0.5350, 0.1041) and F at (0.0786, 0.5393, 0.3561).

=====

A geometry-optimized Cs2LiSiF6 structure. Source: Alexandria via LeMat-Bulk, functional PBE.

The raw formation energy is -2.62 eV per atom. The calculation puts the density of states at the Fermi level at 3.90 states/eV/f.u.

The space group is I4/mmm (No. 139) and the conventional cell measures 5.891, 5.891 and 9.866 Å, with angles of 90.00, 90.00 and 90.00 degrees. Symmetry generates all atoms from Cs at (0.000, 0.500, 0.250), Li at (0.000, 0.000, 0.000), Si at (0.000, 0.000, 0.500), F at (0.000, 0.000, 0.311) and F at (0.234, 0.234, 0.500).

=====

A geometry-optimized Cs2LiSmF6 structure. Source: Alexandria via LeMat-Bulk, functional PBE.

The raw formation energy is -3.30 eV per atom. The calculation puts the density of states at the Fermi level at 0.00 states/eV/f.u.

The space group is I4/mmm (No. 139) and the conventional cell measures 6.207, 6.207 and 9.622 Å, with angles of 90.00, 90.00 and 90.00 degrees. Symmetry generates all atoms from Cs at (0.000, 0.500, 0.250), Li at (0.000, 0.000, 0.000), Sm at (0.000, 0.000, 0.500), F at (0.000, 0.000, 0.266) and F at (0.241, 0.241, 0.000).

=====

A geometry-optimized Cs2LiSnF structure. Source: Alexandria via LeMat-Bulk, functional PBE.

The raw formation energy is -0.42 eV per atom. The calculation puts the density of states at the Fermi level at 2.33 states/eV/f.u.

The space group is P4/mmm (No. 123) and the conventional cell measures 7.838, 7.838 and 4.655 Å, with angles of 90.00, 90.00 and 90.00 degrees. Symmetry generates all atoms from Cs at (0.000, 0.500, 0.000), Li at (0.000, 0.000, 0.500), Sn at (0.500, 0.500, 0.000) and F at (0.500, 0.500, 0.500).

=====

A geometry-optimized Cs2SrLi2F7 structure. Source: Alexandria via LeMat-Bulk, functional PBE.

The raw formation energy is -2.83 eV per atom. The calculation puts the density of states at the Fermi level at 11.88 states/eV/f.u.

The space group is C2/m (No. 12) and the conventional cell measures 5.882, 5.853 and 11.564 Å, with angles of 90.00, 103.44 and 90.00 degrees. Symmetry generates all atoms from Cs at (0.182, 0.000, 0.356), Sr at (0.000, 0.000, 0.000), Li at (0.092, 0.500, 0.174), F at (0.000, 0.500, 0.000), F at (0.166, 0.251, 0.851) and F at (0.183, 0.500, 0.356).

=====

A geometry-optimized CsLi2TaF8 structure. Source: Alexandria via LeMat-Bulk, functional PBE.

The raw formation energy is -3.01 eV per atom. The calculation puts the density of states at the Fermi level at 0.00 states/eV/f.u.

The space group is R-3 (No. 148, hexagonal axes) and the conventional cell measures 5.3937, 5.3937 and 22.8955 Å, with angles of 90.00, 90.00 and 120.00 degrees. Symmetry generates all atoms from Cs at (0.0000, 0.0000, 0.0000), Li at (0.0000, 0.0000, 0.2617), Ta at (0.0000, 0.0000, 0.5000), F at (0.0000, 0.0000, 0.3372) and F at (0.0112, 0.4094, 0.1191).

=====

A geometry-optimized CsLiTb2F8 structure. Source: Alexandria via LeMat-Bulk, functional PBE.

The raw formation energy is -3.68 eV per atom. The calculation puts the density of states at the Fermi level at 0.00 states/eV/f.u.

The space group is P-1 (No. 2) and the conventional cell measures 4.337, 6.682 and 7.338 Å, with angles of 83.56, 85.30 and 89.51 degrees. Symmetry generates all atoms from Cs at (0.000, 0.000, 0.000), Li at (0.000, 0.000, 0.500), Tb at (0.432, 0.454, 0.261), F at (0.062, 0.463, 0.770), F at (0.219, 0.153, 0.322), F at (0.379, 0.684, 0.464) and F at (0.469, 0.691, 0.008).

=====

A geometry-optimized CsLiTbF6 structure. Source: Alexandria via LeMat-Bulk, functional PBE.

The raw formation energy is -3.07 eV per atom. The calculation puts the density of states at the Fermi level at 2.34 states/eV/f.u.

The space group is Imma (No. 74) and the conventional cell measures 7.702, 7.831 and 9.686 Å, with angles of 90.00, 90.00 and 90.00 degrees. Symmetry generates all atoms from Cs at (0.000, 0.250, 0.171), Li at (0.000, 0.000, 0.500), Tb at (0.250, 0.250, 0.750), F at (0.000, 0.250, 0.596), F at (0.000, 0.250, 0.869) and F at (0.211, 0.002, 0.370).

=====

A geometry-optimized Cs2LiTbF6 structure. Source: Alexandria via LeMat-Bulk, functional PBE.

The raw formation energy is -3.33 eV per atom. The calculation puts the density of states at the Fermi level at 0.00 states/eV/f.u.

The space group is Pmmn (No. 59, origin choice 2) and the conventional cell measures 6.338, 8.924 and 6.339 Å, with angles of 90.00, 90.00 and 90.00 degrees. Symmetry generates all atoms from Cs at (0.250, 0.000, 0.250), Li at (0.250, 0.250, 0.748), Tb at (0.250, 0.750, 0.750), F at (0.002, 0.750, 0.503), F at (0.003, 0.750, 0.997) and F at (0.250, 0.501, 0.749).

=====

A geometry-optimized CsLiTcF6 structure. Source: Alexandria via LeMat-Bulk, functional PBE.

The raw formation energy is -2.56 eV per atom. The calculation puts the density of states at the Fermi level at 0.00 states/eV/f.u.

The space group is P312 (No. 149) and the conventional cell measures 5.4288, 5.4288 and 6.5947 Å, with angles of 90.00, 90.00 and 120.00 degrees. Symmetry generates all atoms from Cs at (0.0000, 0.0000, 0.0000), Li at (0.3333, 0.6667, 0.5000), Tc at (0.6667, 0.3333, 0.5000) and F at (0.3831, 0.0182, 0.6681).

=====

A geometry-optimized CsLi2TeF8 structure. Source: Alexandria via LeMat-Bulk, functional PBE.

The raw formation energy is -2.35 eV per atom. The calculation puts the density of states at the Fermi level at 7.44 states/eV/f.u.

The space group is R-3 (No. 148, hexagonal axes) and the conventional cell measures 5.3469, 5.3469 and 24.5968 Å, with angles of 90.00, 90.00 and 120.00 degrees. Symmetry generates all atoms from Cs at (0.0000, 0.0000, 0.0000), Li at (0.0000, 0.0000, 0.2473), Te at (0.0000, 0.0000, 0.5000), F at (0.0000, 0.0000, 0.3191) and F at (0.0144, 0.6447, 0.1187).

=====

A geometry-optimized CsLi2TiF8 structure. Source: Alexandria via LeMat-Bulk, functional PBE.

The raw formation energy is -2.91 eV per atom.

The space group is C2/m (No. 12) and the conventional cell measures 8.214, 6.043 and 8.086 Å, with angles of 90.00, 107.05 and 90.00 degrees. Symmetry generates all atoms from Cs at (0.000, 0.000, 0.000), Li at (0.064, 0.500, 0.301), Ti at (0.000, 0.000, 0.500), F at (0.038, 0.223, 0.675), F at (0.117, 0.500, 0.080) and F at (0.232, 0.000, 0.519).

=====

A geometry-optimized Cs2LiTi3F12 structure. Source: Alexandria via LeMat-Bulk, functional PBE.

The raw formation energy is -3.22 eV per atom. The calculation puts the density of states at the Fermi level at 1.74 states/eV/f.u.

The space group is R-3m (No. 166, hexagonal axes) and the conventional cell measures 7.5636, 7.5636 and 18.0249 Å, with angles of 90.00, 90.00 and 120.00 degrees. Symmetry generates all atoms from Cs at (0.0000, 0.0000, 0.1286), Li at (0.0000, 0.0000, 0.5000), Ti at (0.0000, 0.5000, 0.0000), F at (0.0687, 0.5344, 0.3573) and F at (0.0708, 0.5354, 0.1023).

=====

A geometry-optimized CsLiTlF3 structure. Source: Alexandria via LeMat-Bulk, functional PBE.

The raw formation energy is -2.37 eV per atom. The calculation puts the density of states at the Fermi level at 0.00 states/eV/f.u.

The space group is C2/m (No. 12) and the conventional cell measures 15.820, 4.195 and 8.050 Å, with angles of 90.00, 108.79 and 90.00 degrees. Symmetry generates all atoms from Cs at (0.153, 0.000, 0.084), Li at (0.018, 0.500, 0.728), Tl at (0.139, 0.000, 0.549), F at (0.015, 0.000, 0.691), F at (0.105, 0.500, 0.301) and F at (0.145, 0.500, 0.817).